1.
PrTmAgPt | PBE | optimized geometry

The structure in POSCAR format:
```
PrTmAgPt
1.0
-2.6287 1.6895 -4.0315
-5.0303 -0.7963 -0.2805
-3.2340 3.9099 0.5205
Pt Tm Pr Ag
1 1 1 1
direct
0.7500 0.7500 0.7500
0.0000 0.0000 0.0000
0.5000 0.5000 0.5000
0.2500 0.2500 0.2500
```

Calculated formation energy = -0.7131 eV/atom
Space-group type = F-43m (216)
DOS(E_F) = 1.83 states/eV/cell
Spin magnetization = 0.00 μB/f.u.
DFT total energy = -21.00 eV for the cell shown
Crystal system = cubic


2.
Ca2Pm6Y3 | PBE | optimized geometry

The structure in POSCAR format:
```
Ca2Pm6Y3
1.0
-3.5253 0.8019 -0.5202
-1.5354 -0.5513 -3.2680
-10.0273 -30.6744 7.8445
Ca Pm Y
2 6 3
direct
0.5467 0.5467 0.3598
0.4533 0.4533 0.6402
0.0876 0.0876 0.7372
0.6374 0.6374 0.0879
0.3626 0.3626 0.9121
0.8190 0.8190 0.5430
0.9124 0.9124 0.2628
0.1810 0.1810 0.4570
0.2745 0.2745 0.1766
0.0000 0.0000 0.0000
0.7255 0.7255 0.8234
```

Calculated formation energy = 0.0295 eV/atom
Space-group type = R-3m (166)
DOS(E_F) = 13.96 states/eV/cell
Spin magnetization = 0.00 μB/f.u.
DFT total energy = -51.57 eV for the cell shown
Crystal system = trigonal


3.
NbPd3Rh | PBE | optimized geometry

The structure in POSCAR format:
```
NbPd3Rh
1.0
6.3053 -0.7733 0.8207
-3.7687 5.1138 -0.8207
-2.1655 -1.6459 5.7991
Rh Pd Nb
2 6 2
direct
0.6687 0.2587 0.9100
0.3488 0.7587 0.0900
0.0161 0.1823 0.8162
0.9969 0.2443 0.2526
0.3660 0.6823 0.6661
0.0161 0.6999 0.3339
0.3660 0.1999 0.1838
0.9917 0.7443 0.7474
0.6509 0.7731 0.3778
0.3952 0.2731 0.6222
```

Calculated formation energy = 0.0209 eV/atom
Space-group type = Ima2 (46)
DOS(E_F) = 6.24 states/eV/cell
Spin magnetization = 0.00 μB/f.u.
DFT total energy = -65.79 eV for the cell shown
Crystal system = orthorhombic


The lowest DOS(E_F) belongs to which entry? PrTmAgPt


Look up the DFT total energy of the first one. -21.00 eV for the cell shown